1.
VASP calculation (PBE) on a relaxed structure of TbCl4.

Geometry as CIF:
```
data_TbCl4
_cell_length_a 7.0608
_cell_length_b 6.9316
_cell_length_c 8.6771
_cell_angle_alpha 52.35
_cell_angle_beta 51.01
_cell_angle_gamma 76.65
_symmetry_space_group_name_H-M 'P 1'
_symmetry_Int_Tables_number 1
loop_
_symmetry_equiv_pos_as_xyz
'x,y,z'
loop_
_atom_site_label
_atom_site_fract_x
_atom_site_fract_y
_atom_site_fract_z
Cl1 0.6407 0.5270 0.1035
Cl2 0.0038 0.9640 0.2046
Cl3 0.0454 0.4224 0.2462
Cl4 0.4224 0.0454 0.2860
Cl5 0.1465 0.5211 0.6093
Cl6 0.5211 0.1465 0.7230
Cl7 0.5270 0.6407 0.7289
Cl8 0.9640 0.0038 0.8276
Tb1 0.6546 0.6546 0.3454
Tb2 0.9046 0.9046 0.5954
```

Values from the calculation:
Its crystal system is orthorhombic. Its total energy is -40.40 eV for the cell shown. For the magnetic moment, the calculation gives 0.01 μB per formula unit.

***

2.
VASP calculation (PBE) on a relaxed structure of TbCl4.

Geometry as CIF:
```
data_TbCl4
_cell_length_a 6.8329
_cell_length_b 6.8329
_cell_length_c 7.3082
_cell_angle_alpha 91.90
_cell_angle_beta 91.90
_cell_angle_gamma 56.62
_symmetry_space_group_name_H-M 'P 1'
_symmetry_Int_Tables_number 1
loop_
_symmetry_equiv_pos_as_xyz
'x,y,z'
loop_
_atom_site_label
_atom_site_fract_x
_atom_site_fract_y
_atom_site_fract_z
Cl1 0.3442 0.3767 0.0064
Cl2 0.1085 0.0973 0.1947
Cl3 0.9027 0.8915 0.3053
Cl4 0.6232 0.6558 0.4936
Cl5 0.3767 0.3442 0.5064
Cl6 0.0973 0.1085 0.6947
Cl7 0.8915 0.9027 0.8053
Cl8 0.6558 0.6233 0.9936
Tb1 0.6513 0.3487 0.2500
Tb2 0.3487 0.6513 0.7500
```

Values from the calculation:
Its crystal system is monoclinic. Its total energy is -40.36 eV for the cell shown. For the magnetic moment, the calculation gives 1.00 μB per formula unit.

***

3.
VASP calculation (PBE) on a relaxed structure of TbCl3.

Geometry as CIF:
```
data_TbCl3
_cell_length_a 7.2022
_cell_length_b 7.2022
_cell_length_c 7.2022
_cell_angle_alpha 54.27
_cell_angle_beta 54.27
_cell_angle_gamma 54.27
_symmetry_space_group_name_H-M 'P 1'
_symmetry_Int_Tables_number 1
loop_
_symmetry_equiv_pos_as_xyz
'x,y,z'
loop_
_atom_site_label
_atom_site_fract_x
_atom_site_fract_y
_atom_site_fract_z
Cl1 0.4137 0.7500 0.0863
Cl2 0.9137 0.5863 0.2500
Cl3 0.7500 0.0863 0.4137
Cl4 0.2500 0.9137 0.5863
Cl5 0.0863 0.4137 0.7500
Cl6 0.5863 0.2500 0.9137
Tb1 0.0000 0.0000 0.0000
Tb2 0.5000 0.5000 0.5000
```

Values from the calculation:
Its crystal system is trigonal. Its total energy is -38.34 eV for the cell shown. For the magnetic moment, the calculation gives 0.00 μB per formula unit.